[1]
Computed, not measured: a geometry-optimized Cs2NaICl4 structure at the PBE-GGA level of DFT.

Cell and atoms, written as POSCAR:
```
Cs2NaICl4
1.0
6.349 -6.379 0.000
6.349 6.379 0.000
-6.301 0.000 8.035
Cs Na I Cl
4 2 2 8
direct
0.000 0.000 0.000 Cs
0.000 0.000 0.500 Cs
0.000 0.500 0.000 Cs
0.500 0.000 0.500 Cs
0.500 0.500 0.000 Na
0.500 0.500 0.500 Na
0.000 0.500 0.500 I
0.500 0.000 0.000 I
0.238 0.675 0.433 Cl
0.241 0.258 0.439 Cl
0.258 0.241 0.939 Cl
0.325 0.762 0.067 Cl
0.675 0.238 0.933 Cl
0.742 0.759 0.061 Cl
0.759 0.742 0.561 Cl
0.762 0.325 0.567 Cl
```

Electronic total energy   -2.77 eV per atom
Density   2.84 g cm⁻³
Magnetic moment   3.74 μB/cell
E_form (uncorrected)   -1.2747 eV per atom
V   40.7 A^3/atom


[2]
Computed, not measured: a geometry-optimized HfUP2 structure at the PBE-GGA level of DFT.

Cell and atoms, written as POSCAR:
```
HfUP2
1.0
3.680 0.000 0.000
-1.840 3.187 0.000
0.000 0.000 20.366
Hf U P
3 3 6
direct
0.000 0.000 0.000 Hf
0.333 0.667 0.667 Hf
0.667 0.333 0.333 Hf
0.000 0.000 0.827 U
0.333 0.667 0.493 U
0.667 0.333 0.160 U
0.000 0.000 0.407 P
0.000 0.000 0.587 P
0.333 0.667 0.073 P
0.333 0.667 0.254 P
0.667 0.333 0.740 P
0.667 0.333 0.920 P
```

Electronic total energy   -9.07 eV per atom
Density   9.98 g cm⁻³
Magnetic moment   7.78 μB/cell
Energy relative to the elements   -4.21 eV per formula unit
V   19.9 A^3/atom


[3]
Computed, not measured: a geometry-optimized Ta2ZnSe structure at the PBE-GGA level of DFT.

Cell and atoms, written as POSCAR:
```
Ta2ZnSe
1.0
3.006 0.000 0.000
0.000 4.160 0.000
-1.205 0.000 5.485
Ta Zn Se
2 1 1
direct
0.212 0.000 0.248 Ta
0.788 0.000 0.752 Ta
0.500 0.500 0.000 Zn
0.000 0.500 0.500 Se
```

Electronic total energy   -6.96 eV per atom
Density   12.26 g cm⁻³
Magnetic moment   0.00 μB/cell
E_form (uncorrected)   0.1570 eV per atom
V   17.1 A^3/atom


[4]
Computed, not measured: a geometry-optimized MgTaAu structure at the PBE-GGA level of DFT.

Cell and atoms, written as POSCAR:
```
MgTaAu
1.0
3.772 0.000 0.000
0.000 3.772 0.000
0.000 0.000 7.920
Mg Ta Au
2 2 2
direct
0.250 0.750 0.000 Mg
0.750 0.250 0.000 Mg
0.250 0.250 0.405 Ta
0.750 0.750 0.595 Ta
0.250 0.250 0.751 Au
0.750 0.750 0.249 Au
```

Electronic total energy   -5.44 eV per atom
Density   11.85 g cm⁻³
Magnetic moment   0.00 μB/cell
Energy relative to the elements   0.39 eV per formula unit
V   18.8 A^3/atom


[5]
Computed, not measured: a geometry-optimized Na2GaAgO4 structure at the PBE-GGA level of DFT.

Cell and atoms, written as POSCAR:
```
Na2GaAgO4
1.0
5.841 0.000 0.000
0.000 5.841 0.000
0.000 0.000 6.219
Na Ga Ag O
4 2 2 8
direct
0.000 0.000 0.000 Na
0.000 0.500 0.250 Na
0.500 0.000 0.750 Na
0.500 0.500 0.500 Na
0.000 0.500 0.750 Ga
0.500 0.000 0.250 Ga
0.000 0.000 0.500 Ag
0.500 0.500 0.000 Ag
0.161 0.305 0.560 O
0.195 0.661 0.940 O
0.305 0.839 0.440 O
0.339 0.195 0.060 O
0.661 0.805 0.060 O
0.695 0.161 0.440 O
0.805 0.339 0.940 O
0.839 0.695 0.560 O
```

Electronic total energy   -4.70 eV per atom
Density   4.50 g cm⁻³
Magnetic moment   0.00 μB/cell
E_form (uncorrected)   -1.1540 eV per atom
V   13.3 A^3/atom